{"formula": "LiTb2", "functional": "PBE-GGA", "state": "optimized geometry", "magnetic_moment_mub_per_fu": 1.1, "total_energy_ev_per_cell": -10.796, "e_above_lowest_polymorph_ev_per_atom": 1.469, "lattice": [[0.0000, 5.8699, 5.8699], [5.8699, 0.0000, 5.8699], [5.8699, 5.8699, 0.0000]], "species": ["Li", "Li", "Tb", "Tb", "Tb", "Tb"], "fractional_positions": [[0.1250, 0.1250, 0.1250], [0.8750, 0.8750, 0.8750], [0.0000, 0.0000, 0.0000], [0.0000, 0.0000, 0.5000], [0.0000, 0.5000, 0.0000], [0.5000, 0.0000, 0.0000]]}